The following is a DFT calculation (GGA-PBE) of crystalline RbNa2Li at its relaxed geometry.

Cell: 5.3488 5.3488 13.5367 Å, 78.61 78.61 90.00°
Closest atoms and distances in Å follow each position.
Atoms (fractional coordinates):
Li 0.5000 0.5000 0.0000  4 Na 3.67, 4 Rb 3.78
Li 0.2500 0.7500 0.5000  4 Na 3.67, 4 Rb 3.78
Rb 0.7500 0.2500 0.5000  4 Li 3.78, 4 Na 3.87
Rb 0.0000 0.0000 0.0000  4 Li 3.78, 4 Na 3.87
Na 0.5740 0.1250 0.2500  2 Na 3.42, 2 Li 3.67
Na 0.1760 0.6250 0.2500  2 Na 3.42, 2 Li 3.67
Na 0.8750 0.8240 0.7500  2 Na 3.42, 2 Li 3.67
Na 0.3750 0.4260 0.7500  2 Na 3.42, 2 Li 3.67

Energy of formation from the pure elements, eV/atom: 0.19
Space-group type: I-42d
Energy above the most stable polymorph in this dataset, eV/atom: 0.100


The following is a DFT calculation (GGA-PBE) of crystalline RbNaLi2 at its relaxed geometry.

Cell: 5.4368 5.4368 7.4172 Å, 68.50 68.50 60.00°
Closest atoms and distances in Å follow each position.
Atoms (fractional coordinates):
Li 0.9875 0.9875 0.0376  3 Li 3.15, 3 Na 3.29
Li 0.3059 0.3059 0.0822  3 Li 3.15, 3 Na 3.39
Rb 0.5043 0.5043 0.4870  4 Na 3.99-4.16, 7 Li 4.00-4.36
Na 0.7023 0.7023 0.8932  6 Li 3.29-3.39

Energy of formation from the pure elements, eV/atom: 0.14
Space-group type: R3m
Energy above the most stable polymorph in this dataset, eV/atom: 0.000


The following is a DFT calculation (GGA-PBE) of crystalline RbNaLi2 at its relaxed geometry.

Cell: 6.1167 6.1167 6.1167 Å, 60.00 60.00 60.00°
Closest atoms and distances in Å follow each position.
Atoms (fractional coordinates):
Li 0.2500 0.2500 0.2500  4 Na 3.75, 4 Rb 3.75
Li 0.7500 0.7500 0.7500  4 Na 3.75, 4 Rb 3.75
Na 0.0000 0.0000 0.0000  8 Li 3.75
Rb 0.5000 0.5000 0.5000  8 Li 3.75

Energy of formation from the pure elements, eV/atom: 0.20
Space-group type: Fm-3m
Energy above the most stable polymorph in this dataset, eV/atom: 0.061


The following is a DFT calculation (GGA-PBE) of crystalline RbNa10Li2 at its relaxed geometry.

Cell: 9.2079 9.2079 11.8043 Å, 90.00 90.00 98.26°
Closest atoms and distances in Å follow each position.
Atoms (fractional coordinates):
Na 0.7644 0.5256 0.2500  7 Na 3.49-3.88, 2 Li 3.69
Na 0.8762 0.5979 0.7500  2 Li 3.33, 7 Na 3.56-3.67
Na 0.4744 0.2356 0.2500  7 Na 3.49-3.88, 2 Li 3.69
Na 0.7764 0.7764 0.0000  2 Li 3.50, 8 Na 3.56-3.76
Na 0.8315 0.1685 0.4030  2 Li 3.42, 6 Na 3.58-3.75
Na 0.6135 0.3865 0.9357  6 Na 3.51-3.76, 2 Li 3.64
Na 0.3865 0.6135 0.4357  6 Na 3.51-3.76, 2 Li 3.64
Na 0.1685 0.8315 0.9030  2 Li 3.42, 6 Na 3.58-3.75
Na 0.5256 0.7644 0.7500  7 Na 3.49-3.88, 2 Li 3.69
Na 0.2236 0.2236 0.0000  2 Li 3.50, 8 Na 3.56-3.76
Na 0.5979 0.8762 0.2500  2 Li 3.33, 7 Na 3.56-3.67
Na 0.2236 0.2236 0.5000  2 Li 3.50, 8 Na 3.56-3.76
Na 0.6135 0.3865 0.5643  6 Na 3.51-3.76, 2 Li 3.64
Na 0.4021 0.1238 0.7500  2 Li 3.33, 7 Na 3.56-3.67
Na 0.2356 0.4744 0.7500  7 Na 3.49-3.88, 2 Li 3.69
Na 0.1238 0.4021 0.2500  2 Li 3.33, 7 Na 3.56-3.67
Na 0.3865 0.6135 0.0643  6 Na 3.51-3.76, 2 Li 3.64
Na 0.1685 0.8315 0.5970  2 Li 3.42, 6 Na 3.58-3.75
Na 0.8315 0.1685 0.0970  2 Li 3.42, 6 Na 3.58-3.75
Na 0.7764 0.7764 0.5000  2 Li 3.50, 8 Na 3.56-3.76
Li 0.5000 0.0000 0.5000  10 Na 3.33-3.69
Li 0.0000 0.5000 0.0000  10 Na 3.33-3.69
Li 0.0000 0.5000 0.5000  10 Na 3.33-3.69
Li 0.5000 0.0000 0.0000  10 Na 3.33-3.69
Rb 0.1196 0.8804 0.2500  14 Na 4.15-4.41, 4 Li 4.59
Rb 0.8804 0.1196 0.7500  14 Na 4.15-4.41, 4 Li 4.59

Energy of formation from the pure elements, eV/atom: 0.04
Space-group type: Cmcm


The following is a DFT calculation (GGA-PBE) of crystalline Rb2NaLi2 at its relaxed geometry.

Cell: 11.4111 11.4111 3.9313 Å, 90.00 90.00 90.00°
Closest atoms and distances in Å follow each position.
Atoms (fractional coordinates):
Rb 0.3080 0.8080 0.0000  2 Rb 3.93, 6 Li 3.96-3.98, 2 Na 4.14
Rb 0.1920 0.3080 0.0000  2 Rb 3.93, 6 Li 3.96-3.98, 2 Na 4.14
Rb 0.8080 0.6920 0.0000  2 Rb 3.93, 6 Li 3.96-3.98, 2 Na 4.14
Rb 0.6920 0.1920 0.0000  2 Rb 3.93, 6 Li 3.96-3.98, 2 Na 4.14
Li 0.5950 0.9050 0.5000  1 Li 3.06
Li 0.9050 0.4050 0.5000  1 Li 3.06
Li 0.4050 0.0950 0.5000  1 Li 3.06
Li 0.0950 0.5950 0.5000  1 Li 3.06
Na 0.0000 0.0000 0.0000  2 Na 3.93, 4 Rb 4.14
Na 0.5000 0.5000 0.0000  2 Na 3.93, 4 Rb 4.14

Energy of formation from the pure elements, eV/atom: 0.23
Space-group type: P4/mbm
Energy above the most stable polymorph in this dataset, eV/atom: 0.098


The following is a DFT calculation (GGA-PBE) of crystalline Rb2NaLi2 at its relaxed geometry.

Cell: 5.9982 5.9982 8.8381 Å, 70.16 70.16 90.00°
Closest atoms and distances in Å follow each position.
Atoms (fractional coordinates):
Rb 0.2500 0.7500 0.5000  4 Li 3.91, 4 Rb 4.24
Rb 0.7500 0.2500 0.5000  4 Li 3.91, 4 Rb 4.24
Li 0.5882 0.5882 0.8237  1 Li 2.73
Li 0.4118 0.4118 0.1763  1 Li 2.73
Na 0.0000 0.0000 0.0000  8 Li 4.46, 8 Rb 4.90

Energy of formation from the pure elements, eV/atom: 0.30
Space-group type: I4/mmm
Energy above the most stable polymorph in this dataset, eV/atom: 0.169


The following is a DFT calculation (GGA-PBE) of crystalline RbNa3Li3 at its relaxed geometry.

Cell: 8.4954 8.4954 8.4954 Å, 90.00 90.00 90.00°
Closest atoms and distances in Å follow each position.
Atoms (fractional coordinates):
Li 0.5000 0.2500 0.0000  4 Na 3.00
Li 0.5000 0.7500 0.0000  4 Na 3.00
Li 0.2500 0.0000 0.5000  4 Na 3.00
Li 0.0000 0.5000 0.7500  4 Na 3.00
Li 0.7500 0.0000 0.5000  4 Na 3.00
Li 0.0000 0.5000 0.2500  4 Na 3.00
Na 0.0000 0.7500 0.5000  4 Li 3.00
Na 0.7500 0.5000 0.0000  4 Li 3.00
Na 0.0000 0.2500 0.5000  4 Li 3.00
Na 0.5000 0.0000 0.7500  4 Li 3.00
Na 0.2500 0.5000 0.0000  4 Li 3.00
Na 0.5000 0.0000 0.2500  4 Li 3.00
Rb 0.5000 0.5000 0.5000  12 Li 4.75, 12 Na 4.75
Rb 0.0000 0.0000 0.0000  12 Li 4.75, 12 Na 4.75

Energy of formation from the pure elements, eV/atom: 0.28
Space-group type: Pm-3n


The following is a DFT calculation (GGA-PBE) of crystalline RbNa5Li at its relaxed geometry.

Cell: 5.0565 5.0565 12.0606 Å, 90.00 90.00 90.00°
Closest atoms and distances in Å follow each position.
Atoms (fractional coordinates):
Li 0.5000 0.5000 0.0000  12 Na 3.54-3.58
Rb 0.0000 0.0000 0.5000  8 Na 4.36
Na 0.0000 0.5000 0.2053  2 Li 3.54, 6 Na 3.54-3.58
Na 0.5000 0.0000 0.7947  6 Na 3.54-3.58, 2 Li 3.54
Na 0.0000 0.5000 0.7947  2 Li 3.54, 6 Na 3.54-3.58
Na 0.5000 0.0000 0.2053  2 Li 3.54, 6 Na 3.54-3.58
Na 0.0000 0.0000 0.0000  8 Na 3.54, 4 Li 3.58

Energy of formation from the pure elements, eV/atom: 0.06
Space-group type: P4/mmm


The following is a DFT calculation (GGA-PBE) of crystalline RbNa3Li at its relaxed geometry.

Cell: 8.1424 10.9917 10.9917 Å, 64.76 78.60 78.60°
Closest atoms and distances in Å follow each position.
Atoms (fractional coordinates):
Na 0.4183 0.0217 0.3471  1 Li 3.37, 4 Na 3.65-3.67
Na 0.5938 0.3189 0.3122  2 Li 3.36-3.39, 4 Na 3.59-3.66
Na 0.4062 0.6811 0.6878  2 Li 3.36-3.39, 4 Na 3.59-3.66
Na 0.3996 0.3572 0.0243  1 Li 3.37, 4 Na 3.59-3.65
Na 0.8996 0.0243 0.3572  1 Li 3.37, 4 Na 3.59-3.65
Na 0.9183 0.3471 0.0217  1 Li 3.37, 4 Na 3.65-3.67
Na 0.0938 0.3122 0.3189  2 Li 3.36-3.39, 4 Na 3.59-3.66
Na 0.6004 0.6428 0.9757  1 Li 3.37, 4 Na 3.59-3.65
Na 0.0817 0.6529 0.9783  1 Li 3.37, 4 Na 3.65-3.67
Na 0.5817 0.9783 0.6529  1 Li 3.37, 4 Na 3.65-3.67
Na 0.1004 0.9757 0.6428  1 Li 3.37, 4 Na 3.59-3.65
Na 0.9062 0.6878 0.6811  2 Li 3.36-3.39, 4 Na 3.59-3.66
Rb 0.7500 0.6434 0.3566  6 Li 4.04-4.42, 6 Na 4.25-4.46, 1 Rb 4.46
Rb 0.2500 0.9776 0.0224  2 Li 3.91, 2 Rb 4.11, 4 Na 4.30-4.34
Rb 0.2500 0.3566 0.6434  6 Li 4.04-4.42, 6 Na 4.25-4.46, 1 Rb 4.46
Rb 0.7500 0.0224 0.9776  2 Li 3.91, 2 Rb 4.11, 4 Na 4.30-4.34
Li 0.7097 0.4137 0.7601  1 Li 3.14, 4 Na 3.36-3.39
Li 0.2097 0.7601 0.4137  1 Li 3.14, 4 Na 3.36-3.39
Li 0.7903 0.2399 0.5863  1 Li 3.14, 4 Na 3.36-3.39
Li 0.2903 0.5863 0.2399  1 Li 3.14, 4 Na 3.36-3.39

Energy of formation from the pure elements, eV/atom: 0.08
Space-group type: C2/c
Energy above the most stable polymorph in this dataset, eV/atom: 0.000


The following is a DFT calculation (GGA-PBE) of crystalline RbNa3Li at its relaxed geometry.

Cell: 6.6971 6.6971 6.6971 Å, 90.00 90.00 90.00°
Closest atoms and distances in Å follow each position.
Atoms (fractional coordinates):
Na 0.5000 0.0000 0.0000  2 Rb 3.35
Na 0.0000 0.5000 0.0000  2 Rb 3.35
Na 0.0000 0.0000 0.5000  2 Rb 3.35
Rb 0.0000 0.0000 0.0000  6 Na 3.35
Li 0.5000 0.5000 0.5000  12 Na 4.74

Energy of formation from the pure elements, eV/atom: 0.53
Space-group type: Pm-3m
Energy above the most stable polymorph in this dataset, eV/atom: 0.454


The following is a DFT calculation (GGA-PBE) of crystalline RbNa2Li at its relaxed geometry.

Cell: 4.1203 4.1203 10.2417 Å, 90.00 90.00 90.00°
Closest atoms and distances in Å follow each position.
Atoms (fractional coordinates):
Na 0.0000 0.0000 0.8220  4 Li 3.44, 1 Na 3.65
Na 0.0000 0.0000 0.1780  4 Li 3.44, 1 Na 3.65
Rb 0.5000 0.5000 0.5000  4 Rb 4.12, 8 Na 4.40
Li 0.5000 0.5000 0.0000  8 Na 3.44

Energy of formation from the pure elements, eV/atom: 0.09
Space-group type: P4/mmm
Energy above the most stable polymorph in this dataset, eV/atom: 0.000


The following is a DFT calculation (GGA-PBE) of crystalline Rb2NaLi at its relaxed geometry.

Cell: 4.8323 4.8323 9.7898 Å, 90.00 90.00 90.00°
Closest atoms and distances in Å follow each position.
Atoms (fractional coordinates):
Na 0.5000 0.5000 0.5000  8 Rb 4.27
Li 0.5000 0.5000 0.0000  8 Rb 4.13
Rb 0.0000 0.0000 0.7622  4 Li 4.13, 4 Na 4.27
Rb 0.0000 0.0000 0.2378  4 Li 4.13, 4 Na 4.27

Energy of formation from the pure elements, eV/atom: 0.13
Space-group type: P4/mmm
Energy above the most stable polymorph in this dataset, eV/atom: 0.000